Entry 1:
TaSiF2 after structural relaxation. Source: Alexandria, functional GGA-PBE.

## Properties
Relative energy among the computed polymorphs   222 meV per atom
Formation energy from raw total energies   -937 meV/atom
E   -6.192 eV per atom

a = 8.3042 Å, b = 8.3042 Å, c = 8.3042 Å
α = 19.07°, β = 19.07°, γ = 19.07°
Closest atoms and distances in Å follow each position.
Sites, in units of the cell vectors:
Ta  0.0000  0.0000  0.0000  6 Ta 2.75, 6 F 2.77
Si  0.5000  0.5000  0.5000  2 F 1.81
F  0.4261  0.4261  0.4261  1 Si 1.81
F  0.5739  0.5739  0.5739  1 Si 1.81

=====

Entry 2:
TaSi3F after structural relaxation. Source: Alexandria, functional GGA-PBE.

## Properties
Relative energy among the computed polymorphs   0 meV per atom
Formation energy from raw total energies   299 meV/atom
E   -5.699 eV per atom

a = 4.2070 Å, b = 4.2070 Å, c = 4.2070 Å
α = 90.00°, β = 90.00°, γ = 90.00°
Closest atoms and distances in Å follow each position.
Sites, in units of the cell vectors:
Ta  0.0000  0.0000  0.0000  12 Si 2.97
Si  0.0000  0.5000  0.5000  2 F 2.10
Si  0.5000  0.0000  0.5000  2 F 2.10
Si  0.5000  0.5000  0.0000  2 F 2.10
F  0.5000  0.5000  0.5000  6 Si 2.10